[1]
Computed, not measured: crystalline CaSmHoTl at its relaxed geometry at the PBE level of DFT.

Properties
Magnetization: 0.00 Bohr magnetons per cell
E_form: -5 kJ/mol of atoms

Cell: 7.839 7.839 7.839 Å, 90.00 90.00 90.00°
Space group F-43m (No. 216)
Symmetry-distinct sites (fractional):
Ca  0.000  0.000  0.000 x4
Sm  0.250  0.250  0.250 x4
Ho  0.250  0.250  0.750 x4
Tl  0.000  0.000  0.500 x4

---

[2]
Computed, not measured: crystalline CaSmHo2Tl4 at its relaxed geometry at the PBE level of DFT.

Properties
Magnetization: 0.00 Bohr magnetons per cell
E_form: -35 kJ/mol of atoms

Cell: 5.3993 5.3993 26.6365 Å, 90.00 90.00 120.00°
Space group R-3m (No. 166, hexagonal axes)
Symmetry-distinct sites (fractional):
Ca  0.0000  0.0000  0.0000 x3
Sm  0.0000  0.0000  0.5000 x3
Ho  0.0000  0.0000  0.2522 x6
Tl  0.0000  0.0000  0.1253 x6
Tl  0.0000  0.0000  0.3753 x6

---

[3]
Computed, not measured: crystalline CaSm2HoTl4 at its relaxed geometry at the PBE level of DFT.

Properties
Magnetization: 0.00 Bohr magnetons per cell
E_form: -36 kJ/mol of atoms

Cell: 5.4340 5.4340 26.7249 Å, 90.00 90.00 120.00°
Space group R-3m (No. 166, hexagonal axes)
Symmetry-distinct sites (fractional):
Ca  0.0000  0.0000  0.0000 x3
Sm  0.0000  0.0000  0.2531 x6
Ho  0.0000  0.0000  0.5000 x3
Tl  0.0000  0.0000  0.1271 x6
Tl  0.0000  0.0000  0.3776 x6

---

[4]
Computed, not measured: crystalline CaSm6Y3Ho2 at its relaxed geometry at the PBE level of DFT.

Properties
Magnetization: 0.00 Bohr magnetons per cell
E_form: 4 kJ/mol of atoms

Cell: 6.274 10.861 11.881 Å, 90.00 100.06 90.00°
Space group C2/m (No. 12)
Symmetry-distinct sites (fractional):
Ca  0.000  0.000  0.000 x2
Sm  0.244  0.500  0.252 x4
Sm  0.245  0.330  0.748 x8
Y  0.000  0.166  0.500 x4
Y  0.000  0.500  0.500 x2
Ho  0.000  0.333  0.000 x4

---

[5]
Computed, not measured: crystalline CaSm2Y4Ho at its relaxed geometry at the PBE level of DFT.

Properties
Magnetization: 9.89 Bohr magnetons per cell
E_form: 41 kJ/mol of atoms

Cell: 13.824 13.435 6.865 Å, 90.00 119.70 90.00°
Space group C2/c (No. 15)
Symmetry-distinct sites (fractional):
Ca  0.000  0.000  0.000 x4
Sm  0.000  0.500  0.000 x4
Sm  0.250  0.250  0.000 x4
Y  0.000  0.252  0.001 x8
Y  0.236  0.498  0.483 x8
Ho  0.250  0.250  0.500 x4

---

[6]
Computed, not measured: crystalline CaHoSn2 at its relaxed geometry at the PBE level of DFT.

Properties
Magnetization: 0.00 Bohr magnetons per cell
E_form: -62 kJ/mol of atoms

Cell: 4.633 4.288 6.201 Å, 90.00 111.93 90.00°
Space group Pm (No. 6)
Symmetry-distinct sites (fractional):
Ca  0.000  0.000  0.000 x1
Ho  0.270  0.500  0.538 x1
Sn  0.546  0.500  0.093 x1
Sn  0.728  0.000  0.454 x1